[1]
Density functional theory data (PBE-GGA) for a geometry-optimized PrHo2ErAu4 structure.

Computed properties:
* space-group type: R-3m (166)
* ΔH_f (0 K): -80.6 kJ per mole of atoms

POSCAR file:
```
PrHo2ErAu4
1.0
-2.055 -0.309 -4.643
-2.814 -4.042 -1.272
-8.607 2.524 0.855
Pr Ho Er Au
1 2 1 4
Cartesian
0.000 0.000 0.000 Pr
-10.068 -1.393 -3.811 Ho
-3.409 -0.434 -1.249 Ho
-6.738 -0.913 -2.530 Er
-9.194 0.484 -1.536 Au
-7.564 -2.817 -4.824 Au
-5.913 0.991 -0.235 Au
-4.283 -2.311 -3.524 Au
```

[2]
Density functional theory data (PBE-GGA) for a geometry-optimized Ba7AsSe5 structure.

Computed properties:
* space-group type: Cmcm (63)
* uncorrected formation energy: -1.756 eV/atom

POSCAR file:
```
Ba7AsSe5
1.0
4.688 0.000 0.000
-2.344 7.755 0.010
0.000 -0.029 27.723
Ba As Se
14 2 10
Cartesian
0.000 6.912 6.941 Ba
2.344 0.824 20.793 Ba
2.344 2.128 1.009 Ba
0.000 5.609 26.725 Ba
0.000 5.617 14.874 Ba
2.344 2.113 12.857 Ba
0.000 2.897 4.984 Ba
2.344 4.839 22.750 Ba
2.344 4.839 18.847 Ba
0.000 2.894 8.885 Ba
2.344 6.399 2.995 Ba
0.000 1.337 24.741 Ba
0.000 1.340 16.846 Ba
2.344 6.391 10.885 Ba
2.344 4.560 6.935 As
0.000 3.176 20.799 As
0.000 0.006 0.001 Se
2.344 3.479 25.682 Se
0.000 4.258 2.052 Se
2.344 0.699 9.832 Se
0.000 7.034 17.901 Se
0.000 -0.013 13.861 Se
0.000 4.247 11.821 Se
2.344 3.484 15.911 Se
0.000 7.033 23.702 Se
2.344 0.704 4.032 Se
```

| no. | Fermi-level density of states (states/eV per cell) |
| --- | --- |
| 1 | 4.18 |
| 2 | 9.07 |